The following is a PBE calculation of AsP2SN after structural relaxation, from Alexandria.

Lattice parameters (Å, degrees): 4.1045 4.1045 4.2592 90.00 90.00 90.00
Fractional coordinates of all 5 atoms:
As: 0.0000 0.0000 0.0000
P: 0.0000 0.5000 0.5000
P: 0.5000 0.0000 0.5000
S: 0.5000 0.5000 0.0000
N: 0.5000 0.5000 0.5000

- total magnetization (μB per formula unit) = 0.00
- formation energy from raw total energies (eV per atom) = 1.049
- DOS(E_F) (states/eV/cell) = 2.8
- ΔE to the lowest computed polymorph (meV/atom) = 0